(1)
Compound: NaScVW
Source: the Alexandria database
Functional: PBE
Structure: relaxed

Results
Magnetization   0.0000 μB per atom
VASP energy   -26.7 eV per formula unit
Energy relative to the lowest polymorph listed for this composition   0.420 eV per atom
ΔE_f   762 meV/atom

Unit cell a=6.1247 b=4.1930 c=7.2599 alpha=90.00 beta=113.29 gamma=90.00
With the nearest neighbours (Å) after each atom.
Fractional positions:
W1 0.5378 0.5000 0.6168  3 V 2.42
Sc1 0.2507 0.5000 0.1877  3 W 2.91, 3 V 2.93, 3 Na 3.12
V1 0.5428 0.0000 0.4517  3 W 2.42
Na1 0.9015 0.5000 0.4048  3 Sc 3.12, 3 V 3.15, 3 W 3.17
V2 0.5428 0.5000 0.9517  3 W 2.42
Sc2 0.2507 0.0000 0.6877  3 W 2.91, 3 V 2.93, 3 Na 3.12
W2 0.5378 0.0000 0.1168  3 V 2.42
Na2 0.9015 0.0000 0.9048  3 Sc 3.12, 3 V 3.15, 3 W 3.17

(2)
Compound: NaScVW
Source: the Alexandria database
Functional: PBE
Structure: relaxed

Results
Magnetization   0.0654 μB per atom
VASP energy   -26.7 eV per formula unit
Energy relative to the lowest polymorph listed for this composition   0.423 eV per atom
ΔE_f   765 meV/atom

Unit cell a=2.6669 b=5.3060 c=5.6404 alpha=112.31 beta=96.02 gamma=99.65
With the nearest neighbours (Å) after each atom.
Fractional positions:
Na1 0.5286 0.3958 0.8433  2 Na 2.67, 2 Sc 2.76-2.77
V1 0.0160 0.3915 0.3434  2 V 2.67, 2 W 2.76-2.77
Sc1 0.0349 0.8992 0.8508  2 Sc 2.67, 2 Na 2.76-2.77, 1 W 2.98
W1 0.5256 0.8906 0.3474  2 W 2.67, 2 V 2.76-2.77, 1 Sc 2.98